# 1
Entry from Alexandria via LeMat-Bulk: an optimized crystal structure of Th6GeIr3S2 (PBE).

Cell lengths 4.107, 8.601, 9.477 Å; angles 106.58, 102.51, 90.00 degrees
Fractional coordinates of all 12 atoms:
Ir (0.168, 0.831, 0.337)
Ir (0.832, 0.169, 0.663)
Ir (0.500, 0.500, 0.000)
Ge (0.500, 0.000, 0.000)
Th (0.663, 0.593, 0.325)
Th (0.006, 0.740, 0.011)
Th (0.337, 0.407, 0.675)
Th (0.994, 0.260, 0.989)
Th (0.330, 0.929, 0.659)
Th (0.670, 0.071, 0.341)
S (0.168, 0.337, 0.337)
S (0.832, 0.663, 0.663)

Values from the calculation:
Final energy: -8.182 eV/atom
E_form (uncorrected): -14.2 eV/f.u.
Density: 11186 kg/m³
SG: C2/m, No. 12

# 2
Entry from Alexandria via LeMat-Bulk: an optimized crystal structure of CsKHg6 (PBE).

Cell lengths 6.551, 6.551, 6.551 Å; angles 90.00, 90.00, 90.00 degrees
Fractional coordinates of all 8 atoms:
Hg (0.000, 0.500, 0.762)
Hg (0.000, 0.500, 0.238)
Hg (0.238, 0.000, 0.500)
Hg (0.500, 0.762, 0.000)
Hg (0.500, 0.238, 0.000)
Hg (0.762, 0.000, 0.500)
K (0.000, 0.000, 0.000)
Cs (0.500, 0.500, 0.500)

Values from the calculation:
Final energy: -0.634 eV/atom
ΔH_f (0 K): -1.3 eV per formula unit
Density: 8123 kg/m³
SG: Pm-3, No. 200